No. 1
The following is a DFT calculation (PBE) of Li4CaW after structural relaxation.

Output
Formation energy from the elements: 0.631 eV per atom

Lattice parameters (Å, degrees): 7.7195 7.7195 7.7195 90.00 90.00 90.00
Last column: nearest neighbours and their distance in Å.
Space group F-43m (No. 216)
Unique sites:
1 Li 0.1222 0.1222 0.1222 (multiplicity 16)  6 Li 2.67-2.79
2 Ca 0.0000 0.0000 0.5000 (multiplicity 4)  12 Li 3.21, 4 W 3.34
3 W 0.2500 0.2500 0.7500 (multiplicity 4)  12 Li 3.19, 4 Ca 3.34

No. 2
The following is a DFT calculation (PBE) of LiCaW after structural relaxation.

Output
Offset from the most stable computed form: 0.0 meV per atom
Formation energy from the elements: 0.728 eV per atom

Lattice parameters (Å, degrees): 3.9356 3.9793 15.5600 90.00 90.00 90.00
Last column: nearest neighbours and their distance in Å.
Space group Fmm2 (No. 42)
Unique sites:
1 Li 0.0000 0.0000 0.0000 (multiplicity 4)  4 Li 2.80, 4 W 3.00-3.02
2 Ca 0.0000 0.0000 0.6963 (multiplicity 4)  4 Ca 2.80
3 W 0.0000 0.0000 0.3543 (multiplicity 4)  4 W 2.80, 4 Li 3.00-3.02

No. 3
The following is a DFT calculation (PBE) of Li2CaW after structural relaxation.

Output
Offset from the most stable computed form: 65.4 meV per atom
Formation energy from the elements: 0.622 eV per atom

Lattice parameters (Å, degrees): 2.9624 2.9624 32.0418 90.00 90.00 120.00
Last column: nearest neighbours and their distance in Å.
Space group R3m (No. 160, hexagonal axes)
Unique sites:
1 Li 0.0000 0.0000 0.0000 (multiplicity 3)  3 W 2.94, 9 Li 2.96-3.18
2 Li 0.0000 0.0000 0.2496 (multiplicity 3)  9 Li 2.96-3.18
3 Ca 0.0000 0.0000 0.4891 (multiplicity 3)  6 Ca 2.96, 3 W 3.11
4 W 0.0000 0.0000 0.7413 (multiplicity 3)  3 Li 2.94, 6 W 2.96, 3 Ca 3.11

No. 4
The following is a DFT calculation (PBE) of LiCaW after structural relaxation.

Output
Offset from the most stable computed form: 891.4 meV per atom
Formation energy from the elements: 1.619 eV per atom

Lattice parameters (Å, degrees): 6.6778 6.6778 6.6778 90.00 90.00 90.00
Last column: nearest neighbours and their distance in Å.
Space group F-43m (No. 216)
Unique sites:
1 Li 0.0000 0.0000 0.0000 (multiplicity 4)  4 Ca 2.89, 4 W 2.89
2 Ca 0.2500 0.2500 0.2500 (multiplicity 4)  4 Li 2.89
3 W 0.2500 0.2500 0.7500 (multiplicity 4)  4 Li 2.89

No. 5
The following is a DFT calculation (PBE) of Li2CaW after structural relaxation.

Output
Offset from the most stable computed form: 204.4 meV per atom
Formation energy from the elements: 0.761 eV per atom

Lattice parameters (Å, degrees): 2.7849 5.3951 11.2168 90.00 90.00 90.00
Last column: nearest neighbours and their distance in Å.
Space group Immm (No. 71)
Unique sites:
1 Li 0.0000 0.0000 0.2231 (multiplicity 4)  6 Li 2.78-3.09, 2 W 2.86
2 Ca 0.0000 0.5000 0.0000 (multiplicity 2)  2 Ca 2.78, 4 W 3.04
3 W 0.0000 0.5000 0.5000 (multiplicity 2)  2 W 2.78, 4 Li 2.86, 4 Ca 3.04

No. 6
The following is a DFT calculation (PBE) of Li2CaW after structural relaxation.

Output
Offset from the most stable computed form: 190.1 meV per atom
Formation energy from the elements: 0.747 eV per atom

Lattice parameters (Å, degrees): 2.7080 4.7037 6.1608 90.00 90.00 90.00
Last column: nearest neighbours and their distance in Å.
Space group Pmmm (No. 47)
Unique sites:
1 Li 0.0000 0.0000 0.1957 (multiplicity 2)  1 Li 2.41
2 Ca 0.5000 0.5000 0.5000 (multiplicity 1)  2 Ca 2.71
3 W 0.5000 0.5000 0.0000 (multiplicity 1)  2 W 2.71, 8 Li 2.97